(A)
# TmAl2Ga2Ni

TmAl2Ga2Ni after structural relaxation (PBE, OQMD).

abc: 7.813 7.813 6.677
angles: 90.00 90.00 150.04
Element x y z (fractional)
Al: 0.312 0.688 0.053
Al: 0.312 0.688 0.447
Al: 0.688 0.312 0.553
Al: 0.688 0.312 0.947
Ga: 0.500 0.500 0.000
Ga: 0.928 0.072 0.250
Ga: 0.500 0.500 0.500
Ga: 0.072 0.928 0.750
Ni: 0.773 0.227 0.250
Ni: 0.227 0.773 0.750
Tm: 0.119 0.881 0.250
Tm: 0.881 0.119 0.750

---

(B)
# TmAl2Ga2Ni

TmAl2Ga2Ni after structural relaxation (PBE, OQMD).

abc: 7.865 7.865 6.527
angles: 90.00 90.00 150.02
Element x y z (fractional)
Al: 0.500 0.500 0.000
Al: 0.072 0.928 0.250
Al: 0.500 0.500 0.500
Al: 0.928 0.072 0.750
Ga: 0.683 0.317 0.050
Ga: 0.683 0.317 0.450
Ga: 0.317 0.683 0.550
Ga: 0.317 0.683 0.950
Ni: 0.225 0.775 0.250
Ni: 0.775 0.225 0.750
Tm: 0.877 0.123 0.250
Tm: 0.123 0.877 0.750

---

(A) has the most favorable energy; the next structure is 56 meV/atom above.

---

(A)
# YAl3GaNi

YAl3GaNi after structural relaxation (PBE, OQMD).

abc: 7.938 7.938 6.653
angles: 90.00 90.00 150.44
Element x y z (fractional)
Al: 0.810 0.190 0.053
Al: 0.424 0.576 0.250
Al: 0.810 0.190 0.447
Al: 0.190 0.810 0.553
Al: 0.576 0.424 0.750
Al: 0.190 0.810 0.947
Ga: 0.000 0.000 0.000
Ga: 0.000 0.000 0.500
Ni: 0.273 0.727 0.250
Ni: 0.727 0.273 0.750
Y: 0.616 0.384 0.250
Y: 0.384 0.616 0.750

---

(B)
# YAl3GaNi

YAl3GaNi after structural relaxation (PBE, OQMD).

abc: 7.940 7.940 6.633
angles: 90.00 90.00 150.28
Element x y z (fractional)
Al: 0.000 0.000 0.000
Al: 0.189 0.811 0.052
Al: 0.189 0.811 0.448
Al: 0.000 0.000 0.500
Al: 0.811 0.189 0.552
Al: 0.811 0.189 0.948
Ga: 0.572 0.428 0.250
Ga: 0.428 0.572 0.750
Ni: 0.725 0.275 0.250
Ni: 0.275 0.725 0.750
Y: 0.382 0.618 0.250
Y: 0.618 0.382 0.750

---

(A) has the most favorable energy; the next structure is 16 meV/atom above.

---

(A)
# YAlGa3Ni

YAlGa3Ni after structural relaxation (PBE, OQMD).

abc: 7.957 7.957 6.582
angles: 90.00 90.00 150.34
Element x y z (fractional)
Al: 0.074 0.926 0.250
Al: 0.926 0.074 0.750
Ga: 0.500 0.500 0.000
Ga: 0.685 0.315 0.051
Ga: 0.685 0.315 0.449
Ga: 0.500 0.500 0.500
Ga: 0.315 0.685 0.551
Ga: 0.315 0.685 0.949
Ni: 0.225 0.775 0.250
Ni: 0.775 0.225 0.750
Y: 0.881 0.119 0.250
Y: 0.119 0.881 0.750

---

(B)
# YAlGa3Ni

YAlGa3Ni after structural relaxation (PBE, OQMD).

abc: 7.954 7.954 6.572
angles: 90.00 90.00 150.14
Element x y z (fractional)
Al: 0.000 0.000 0.000
Al: 0.000 0.000 0.500
Ga: 0.815 0.185 0.051
Ga: 0.428 0.572 0.250
Ga: 0.815 0.185 0.449
Ga: 0.185 0.815 0.551
Ga: 0.572 0.428 0.750
Ga: 0.185 0.815 0.949
Ni: 0.275 0.725 0.250
Ni: 0.725 0.275 0.750
Y: 0.619 0.381 0.250
Y: 0.381 0.619 0.750

---

(A) has the most favorable energy; the next structure is 7 meV/atom above.